# 1
VASP calculation (PBE-GGA) on a relaxed CaPrEuCd crystal.

Output
DFT formation energy (eV/atom): -0.05
Spin magnetization (μB/f.u.): 7.7

Cell and atoms, written as POSCAR:
```
CaPrEuCd
1.0
-5.1686 -2.2214 1.1411
-0.4439 -4.7255 3.2285
-2.1631 0.3419 5.3061
Eu Ca Pr Cd
1 1 1 1
Direct
0.0000 0.0000 0.0000
0.2500 0.2500 0.2500
0.5000 0.5000 0.5000
0.7500 0.7500 0.7500
```

***

# 2
VASP calculation (PBE-GGA) on a relaxed TaP2CCl crystal.

Output
Spin magnetization (μB/f.u.): 0.0
Calculated total energy (eV per atom): -5.6650

Cell and atoms, written as POSCAR:
```
TaP2CCl
1.0
4.0226 0.0000 0.0000
0.0000 4.0226 0.0000
0.0000 0.0000 4.2186
P Cl Ta C
2 1 1 1
Direct
0.0000 0.5000 0.0000
0.5000 0.0000 0.0000
0.0000 0.0000 0.5000
0.5000 0.5000 0.5000
0.0000 0.0000 0.0000
```

***

# 3
VASP calculation (PBE-GGA) on a relaxed Cs3TbBi2O8 crystal.

Output
Spin magnetization (μB/f.u.): 0.1
Calculated total energy (eV per atom): -5.4200

Cell and atoms, written as POSCAR:
```
Cs3TbBi2O8
1.0
-5.7974 2.8821 -0.5612
0.5902 -6.3659 -1.1651
-1.6219 -1.6583 8.2386
Cs O Bi Tb
3 8 2 1
Direct
0.3333 0.6667 0.6959
0.0000 0.0000 0.0000
0.6667 0.3333 0.3041
0.3275 0.1637 0.6583
0.1637 0.3275 0.3417
0.6667 0.3333 0.9788
0.3333 0.6667 0.0212
0.8363 0.1637 0.6583
0.8363 0.6725 0.6583
0.6725 0.8363 0.3417
0.1637 0.8363 0.3417
0.6667 0.3333 0.7457
0.3333 0.6667 0.2543
0.0000 0.0000 0.5000
```

***

# 4
VASP calculation (PBE-GGA) on a relaxed Ho3Zn6Ag20 crystal.

Output
DFT formation energy (eV/atom): -0.03
Spin magnetization (μB/f.u.): 0.0

Cell and atoms, written as POSCAR:
```
Ho3Zn6Ag20
1.0
7.9722 0.0000 4.6028
2.6574 7.5163 4.6028
0.0000 0.0000 9.2055
Ag Ho Zn
20 3 6
Direct
0.3492 0.6508 0.0000
0.6508 0.3492 0.0000
0.3492 0.0000 0.6508
0.1436 0.6188 0.6188
0.8564 0.3812 0.3812
0.0000 0.0000 0.6508
0.6188 0.6188 0.1436
0.6508 0.0000 0.3492
0.3812 0.8564 0.3812
0.0000 0.3492 0.0000
0.0000 0.3492 0.6508
0.0000 0.0000 0.3492
0.0000 0.6508 0.0000
0.6188 0.1436 0.6188
0.6508 0.0000 0.0000
0.3812 0.3812 0.8564
0.3492 0.0000 0.0000
0.6188 0.6188 0.6188
0.0000 0.6508 0.3492
0.3812 0.3812 0.3812
0.2500 0.2500 0.2500
0.0000 0.0000 0.0000
0.7500 0.7500 0.7500
0.7332 0.2668 0.7332
0.2668 0.7332 0.7332
0.7332 0.7332 0.2668
0.7332 0.2668 0.2668
0.2668 0.7332 0.2668
0.2668 0.2668 0.7332
```

***

# 5
VASP calculation (PBE-GGA) on a relaxed TbH6Pd8 crystal.

Output
Spin magnetization (μB/f.u.): 0.0
Calculated total energy (eV per atom): -4.7270

Cell and atoms, written as POSCAR:
```
TbH6Pd8
1.0
4.6018 -0.0528 2.4202
2.5499 4.4403 0.7728
1.0452 -2.3356 9.0846
H Pd Tb
6 8 1
Direct
0.6844 0.1594 0.7360
0.4587 0.2744 0.4056
0.5413 0.7256 0.5944
0.3156 0.8406 0.2640
0.0169 0.4888 0.2371
0.9831 0.5112 0.7629
0.5612 0.8856 0.3335
0.2163 0.5543 0.3344
0.8854 0.2282 0.3352
0.1146 0.7718 0.6648
0.3471 0.3271 0.9907
0.7837 0.4457 0.6656
0.4388 0.1144 0.6665
0.6529 0.6729 0.0093
0.0000 0.0000 0.0000
```

***

# 6
VASP calculation (PBE-GGA) on a relaxed Tb2ScPd crystal.

Output
DFT formation energy (eV/atom): -0.30
Spin magnetization (μB/f.u.): 0.0

Cell and atoms, written as POSCAR:
```
Tb2ScPd
1.0
-2.6432 1.6559 1.9469
-3.4473 -3.3272 -1.8505
0.9284 -3.1557 3.9444
Pd Tb Sc
1 2 1
Direct
0.5000 0.5000 0.5000
0.0000 0.5000 0.0000
0.0000 0.0000 0.5000
0.5000 0.0000 0.0000
```

***

> Which formula does entry 5 have?

TbH6Pd8

***

> What is the formula in the second record?

TaP2CCl